First-principles (PBE with a Hubbard U) data for a relaxed structure of Li2CeFeO4, as listed in Alexandria.

Values from the calculation:
Calculated volume = 11.38 A^3/atom
Size of the total moment = 4.02 μB per formula unit
VASP energy = -53.60 eV per formula unit
SG = F222, No. 22

abc: 5.525 5.516 4.490
angles: 66.11 65.90 47.99
Sites, in units of the cell vectors:
1 Li 0.000 0.000 0.000
2 Li 0.250 0.250 0.250
3 Ce 0.500 0.500 0.500
4 Fe 0.750 0.750 0.750
5 O 0.252 0.252 0.748
6 O 0.507 0.507 0.993
7 O 0.748 0.748 0.252
8 O 0.993 0.993 0.507